Record 1
Below is Y2Zn6Cu9 after structural relaxation, with properties calculated at the PBE level.

Unit cell a=5.129 b=5.129 c=12.353 alpha=90.00 beta=90.00 gamma=120.00
Sites, in units of the cell vectors:
Y 0.000 0.000 0.167
Y 0.000 0.000 0.833
Zn 0.333 0.667 0.166
Zn 0.333 0.667 0.500
Zn 0.333 0.667 0.834
Zn 0.667 0.333 0.166
Zn 0.667 0.333 0.500
Zn 0.667 0.333 0.834
Cu 0.000 0.500 0.000
Cu 0.000 0.500 0.333
Cu 0.000 0.500 0.667
Cu 0.500 0.000 0.000
Cu 0.500 0.000 0.333
Cu 0.500 0.000 0.667
Cu 0.500 0.500 0.000
Cu 0.500 0.500 0.333
Cu 0.500 0.500 0.667

Computed properties:
As for the calculated volume: 281 Å³/f.u. As for the space-group type: P6/mmm (191). The value obtained for the total energy is -59.1 eV for the cell shown. For the calculated formation energy, the calculation gives -0.10 eV/atom.


Record 2
Below is Y4ZnCu after structural relaxation, with properties calculated at the PBE level.

Unit cell a=6.202 b=6.202 c=6.202 alpha=60.00 beta=60.00 gamma=60.00
Sites, in units of the cell vectors:
Y 0.125 0.125 0.125
Y 0.125 0.125 0.626
Y 0.125 0.626 0.125
Y 0.626 0.125 0.125
Zn 0.750 0.750 0.750
Cu 0.500 0.500 0.500

Computed properties:
As for the calculated volume: 169 Å³/f.u. As for the space-group type: F-43m (216). The value obtained for the total energy is -27.4 eV for the cell shown. For the calculated formation energy, the calculation gives 0.63 eV/atom. Its offset from the most stable computed form is 4.876 eV per formula unit.


Record 3
Below is Y12ZnCu6 after structural relaxation, with properties calculated at the PBE level.

Unit cell a=8.546 b=8.546 c=8.546 alpha=108.92 beta=108.92 gamma=108.92
Sites, in units of the cell vectors:
Y 0.001 0.690 0.133
Y 0.133 0.001 0.690
Y 0.155 0.468 0.375
Y 0.310 0.867 0.999
Y 0.375 0.155 0.468
Y 0.468 0.375 0.155
Y 0.532 0.625 0.845
Y 0.625 0.845 0.532
Y 0.690 0.133 0.001
Y 0.845 0.532 0.625
Y 0.867 0.999 0.310
Y 0.999 0.310 0.867
Zn 0.000 0.000 0.000
Cu 0.164 0.335 0.643
Cu 0.335 0.643 0.164
Cu 0.357 0.836 0.665
Cu 0.643 0.164 0.335
Cu 0.665 0.357 0.836
Cu 0.836 0.665 0.357

Computed properties:
As for the calculated volume: 490 Å³/f.u. As for the space-group type: R-3 (148). The value obtained for the total energy is -103.5 eV for the cell shown. For the calculated formation energy, the calculation gives -0.01 eV/atom. Its offset from the most stable computed form is 3.090 eV per formula unit.


Record 4
Below is Y3ZnCu2 after structural relaxation, with properties calculated at the PBE level.

Unit cell a=4.975 b=4.975 c=12.166 alpha=90.00 beta=90.00 gamma=120.00
Sites, in units of the cell vectors:
Y 0.000 0.000 0.246
Y 0.000 0.000 0.754
Y 0.333 0.667 0.417
Y 0.333 0.667 0.921
Y 0.667 0.333 0.079
Y 0.667 0.333 0.583
Zn 0.333 0.667 0.670
Zn 0.667 0.333 0.330
Cu 0.000 0.000 0.000
Cu 0.000 0.000 0.500
Cu 0.333 0.667 0.172
Cu 0.667 0.333 0.828

Computed properties:
As for the calculated volume: 130 Å³/f.u. As for the space-group type: P-3m1 (164). The value obtained for the total energy is -61.0 eV for the cell shown. For the calculated formation energy, the calculation gives -0.28 eV/atom. Its offset from the most stable computed form is 0.021 eV per formula unit.